The following is a DFT calculation (PBE) of an optimized crystal structure of Nd3Y2UN6.

Cell lengths 6.104, 6.104, 6.183 Å; angles 99.48, 99.48, 119.93 degrees
Fractional coordinates of all 12 atoms:
Nd1 0.832 0.168 0.500
Nd2 0.168 0.832 0.500
N1 0.236 0.236 0.776
N2 0.926 0.616 0.778
Nd3 0.500 0.500 0.500
Y1 0.666 0.334 0.000
N3 0.384 0.074 0.222
N4 0.764 0.764 0.224
N5 0.616 0.926 0.778
U1 0.000 0.000 0.000
N6 0.074 0.384 0.222
Y2 0.334 0.666 0.000

## Properties
Formation energy without anion corrections, meV per atom: -1530
M_tot, μB/f.u.: 0.0
Calculated density, g cm⁻³: 8.214
V, Å³ per atom: 15.711
Space-group type: C2/m (12)

***

The following is a DFT calculation (PBE) of an optimized crystal structure of CsTlZnB2.

Cell lengths 5.266, 6.263, 5.266 Å; angles 90.00, 90.00, 90.00 degrees
Fractional coordinates of all 5 atoms:
B1 0.000 0.000 0.500
Tl1 0.500 0.500 0.500
Cs1 0.000 0.000 0.000
Zn1 0.000 0.500 0.000
B2 0.500 0.000 0.000

## Properties
Energy relative to the elements, meV per atom: 2341.7
M_tot, μB/f.u.: 0.0
Calculated density, g cm⁻³: 4.056
V, Å³ per atom: 34.742
Space-group type: P4/mmm (123)